(1)
# GdTmCo2Si2C | OQMD | GGA-PBE | optimized geometry
# total energy: -6.88 eV/atom
# magnetic moment: 0.003 μB per atom
# ρ: 8.01 Mg/m³
data_GdTmCo2Si2C
_symmetry_space_group_name_H-M 'C 1 m 1'
_symmetry_Int_Tables_number 8
_cell_length_a 10.530
_cell_length_b 3.865
_cell_length_c 6.771
_cell_angle_alpha 90.00
_cell_angle_beta 129.62
_cell_angle_gamma 90.00
loop_
_symmetry_equiv_pos_as_xyz
'x,y,z'
'x,-y,z'
'x+1/2,y+1/2,z'
'x+1/2,-y+1/2,z'
loop_
_atom_site_label
_atom_site_fract_x
_atom_site_fract_y
_atom_site_fract_z
_atom_site_occupancy
Gd1 0.000 0.000 0.000 1
Tm1 0.373 0.500 0.406 1
Co1 0.134 0.500 0.788 1
Co2 0.236 0.000 0.612 1
Si1 0.092 0.500 0.407 1
Si2 0.280 0.000 0.999 1
C1 0.433 0.000 0.695 1

(2)
# PrNpHg | OQMD | GGA-PBE | optimized geometry
# E above lowest polymorph: 0.0000 eV/atom
# ΔE_f: 0.441 eV/atom
# magnetic moment: 1.756 μB per atom
# ρ: 9.51 Mg/m³
data_PrNpHg
_symmetry_space_group_name_H-M 'F -4 3 m'
_symmetry_Int_Tables_number 216
_symmetry_space_group_name_Hall 'F -4 2 3'
_cell_length_a 7.394
_cell_length_b 7.394
_cell_length_c 7.394
_cell_angle_alpha 90.00
_cell_angle_beta 90.00
_cell_angle_gamma 90.00
loop_
_atom_site_label
_atom_site_fract_x
_atom_site_fract_y
_atom_site_fract_z
_atom_site_occupancy
Pr1 0.000 0.000 0.000 1
Np1 0.000 0.000 0.500 1
Hg1 0.250 0.250 0.750 1

(3)
# AcTmO3 | OQMD | GGA-PBE | optimized geometry
# total energy: -7.60 eV/atom
# magnetic moment: 0.000 μB per atom
# ρ: 8.37 Mg/m³
data_AcTmO3
_symmetry_space_group_name_H-M 'P 4 m m'
_symmetry_Int_Tables_number 99
_cell_length_a 3.834
_cell_length_b 3.834
_cell_length_c 5.993
_cell_angle_alpha 90.00
_cell_angle_beta 90.00
_cell_angle_gamma 90.00
loop_
_symmetry_equiv_pos_as_xyz
'x,y,z'
'-y,x,z'
'-x,-y,z'
'y,-x,z'
'-x,y,z'
'y,x,z'
'x,-y,z'
'-y,-x,z'
loop_
_atom_site_label
_atom_site_fract_x
_atom_site_fract_y
_atom_site_fract_z
_atom_site_occupancy
Ac1 0.000 0.000 0.000 1
Tm1 0.500 0.500 0.416 1
O1 0.000 0.000 0.615 1
O2 0.000 0.500 0.230 1

(4)
# PaCo | OQMD | GGA-PBE | optimized geometry
# ΔE_f: -0.289 eV/atom
# magnetic moment: 0.001 μB per atom
# ρ: 12.77 Mg/m³
data_PaCo
_symmetry_space_group_name_H-M 'F m -3 m'
_symmetry_Int_Tables_number 225
_symmetry_space_group_name_Hall '-F 4 2 3'
_cell_length_a 5.323
_cell_length_b 5.323
_cell_length_c 5.323
_cell_angle_alpha 90.00
_cell_angle_beta 90.00
_cell_angle_gamma 90.00
loop_
_atom_site_label
_atom_site_fract_x
_atom_site_fract_y
_atom_site_fract_z
_atom_site_occupancy
Pa1 0.000 0.000 0.000 1
Co1 0.000 0.000 0.500 1

(5)
# ScNbCuB | OQMD | GGA-PBE | optimized geometry
# E above lowest polymorph: 0.0000 eV/atom
# magnetic moment: 0.517 μB per atom
# ρ: 6.14 Mg/m³
data_ScNbCuB
_symmetry_space_group_name_H-M 'F -4 3 m'
_symmetry_Int_Tables_number 216
_symmetry_space_group_name_Hall 'F -4 2 3'
_cell_length_a 6.124
_cell_length_b 6.124
_cell_length_c 6.124
_cell_angle_alpha 90.00
_cell_angle_beta 90.00
_cell_angle_gamma 90.00
loop_
_atom_site_label
_atom_site_fract_x
_atom_site_fract_y
_atom_site_fract_z
_atom_site_occupancy
Sc1 0.000 0.000 0.000 1
Nb1 0.250 0.250 0.250 1
Cu1 0.250 0.250 0.750 1
B1 0.000 0.000 0.500 1

(6)
# InPd9 | OQMD | GGA-PBE | optimized geometry
# E above lowest polymorph: 0.0299 eV/atom
# ρ: 9.05 Mg/m³
data_InPd9
_symmetry_space_group_name_H-M 'P 4/n m m'
_symmetry_Int_Tables_number 129
_cell_length_a 2.845
_cell_length_b 2.845
_cell_length_c 48.643
_cell_angle_alpha 90.00
_cell_angle_beta 90.00
_cell_angle_gamma 90.00
loop_
_symmetry_equiv_pos_as_xyz
'x,y,z'
'-x,-y,-z'
'-y+1/2,x,z'
'y+1/2,-x,-z'
'-x+1/2,-y+1/2,z'
'x+1/2,y+1/2,-z'
'y,-x+1/2,z'
'-y,x+1/2,-z'
'x+1/2,-y,-z'
'-x+1/2,y,z'
'-y,-x,-z'
'y,x,z'
'-x,y+1/2,-z'
'x,-y+1/2,z'
'y+1/2,x+1/2,-z'
'-y+1/2,-x+1/2,z'
loop_
_atom_site_label
_atom_site_fract_x
_atom_site_fract_y
_atom_site_fract_z
_atom_site_occupancy
In1 0.250 0.250 0.126 1
Pd1 0.250 0.250 0.208 1
Pd2 0.250 0.250 0.287 1
Pd3 0.250 0.250 0.364 1
Pd4 0.250 0.250 0.442 1
Pd5 0.250 0.250 0.519 1
Pd6 0.250 0.250 0.597 1
Pd7 0.250 0.250 0.674 1
Pd8 0.250 0.250 0.752 1
Pd9 0.250 0.250 0.832 1

(7)
# LiScSnIr | OQMD | GGA-PBE | optimized geometry
# total energy: -6.00 eV/atom
# magnetic moment: 0.000 μB per atom
# ρ: 8.87 Mg/m³
data_LiScSnIr
_symmetry_space_group_name_H-M 'F -4 3 m'
_symmetry_Int_Tables_number 216
_symmetry_space_group_name_Hall 'F -4 2 3'
_cell_length_a 6.477
_cell_length_b 6.477
_cell_length_c 6.477
_cell_angle_alpha 90.00
_cell_angle_beta 90.00
_cell_angle_gamma 90.00
loop_
_atom_site_label
_atom_site_fract_x
_atom_site_fract_y
_atom_site_fract_z
_atom_site_occupancy
Li1 0.000 0.000 0.000 1
Sc1 0.250 0.250 0.250 1
Sn1 0.250 0.250 0.750 1
Ir1 0.000 0.000 0.500 1

(8)
# GdMgZn | OQMD | GGA-PBE | optimized geometry
# total energy: -2.62 eV/atom
# magnetic moment: 0.002 μB per atom
# ρ: 5.83 Mg/m³
data_GdMgZn
_symmetry_space_group_name_H-M 'P 1'
_symmetry_Int_Tables_number 1
_cell_length_a 5.877
_cell_length_b 6.049
_cell_length_c 8.511
_cell_angle_alpha 86.18
_cell_angle_beta 84.26
_cell_angle_gamma 69.38
loop_
_symmetry_equiv_pos_as_xyz
'x,y,z'
loop_
_atom_site_label
_atom_site_fract_x
_atom_site_fract_y
_atom_site_fract_z
_atom_site_occupancy
Gd1 0.000 0.000 0.000 1
Gd2 0.117 0.397 0.213 1
Gd3 0.454 0.676 0.718 1
Gd4 0.628 0.219 0.426 1
Mg1 0.060 0.284 0.615 1
Mg2 0.213 0.840 0.374 1
Mg3 0.467 0.165 0.848 1
Mg4 0.579 0.518 0.080 1
Zn1 0.540 0.957 0.153 1
Zn2 0.731 0.705 0.418 1
Zn3 0.904 0.856 0.660 1
Zn4 0.991 0.535 0.887 1

- Look up the ρ of the second one.
  9.51 Mg/m³

Please write out number 5 again, unchanged.
# ScNbCuB | OQMD | GGA-PBE | optimized geometry
# E above lowest polymorph: 0.0000 eV/atom
# magnetic moment: 0.517 μB per atom
# ρ: 6.14 Mg/m³
data_ScNbCuB
_symmetry_space_group_name_H-M 'F -4 3 m'
_symmetry_Int_Tables_number 216
_symmetry_space_group_name_Hall 'F -4 2 3'
_cell_length_a 6.124
_cell_length_b 6.124
_cell_length_c 6.124
_cell_angle_alpha 90.00
_cell_angle_beta 90.00
_cell_angle_gamma 90.00
loop_
_atom_site_label
_atom_site_fract_x
_atom_site_fract_y
_atom_site_fract_z
_atom_site_occupancy
Sc1 0.000 0.000 0.000 1
Nb1 0.250 0.250 0.250 1
Cu1 0.250 0.250 0.750 1
B1 0.000 0.000 0.500 1